Entry 1:
Compound: CoReOs
Source: the Alexandria database
Functional: PBE
Structure: relaxed

As for the density of states at the Fermi level: 2.76 states/eV/cell. The value obtained for the formation energy is 121 meV per atom. As for the energy above the most stable polymorph in this dataset: 0.057 eV per atom. The total energy comes out at -10.14 eV per atom. As for the space group: I4mm, No. 107. The size of the total moment is 0.000 μB per formula unit.

Lattice parameters (Å, degrees): 5.8474 5.8474 5.8474 153.44 153.44 37.92
Sites, in units of the cell vectors:
Co (0.0010, 0.0010, 0.0000)
Os (0.3376, 0.3376, 0.0000)
Re (0.6614, 0.6614, 0.0000)


Entry 2:
Compound: CoReOs
Source: the Alexandria database
Functional: PBE
Structure: relaxed

As for the density of states at the Fermi level: 7.21 states/eV/cell. The value obtained for the formation energy is 77 meV per atom. As for the energy above the most stable polymorph in this dataset: 0.013 eV per atom. The total energy comes out at -10.18 eV per atom. As for the space group: Cmcm, No. 63. The size of the total moment is 0.000 μB per formula unit.

Lattice parameters (Å, degrees): 3.7975 3.8097 5.8608 90.00 108.90 90.00
Sites, in units of the cell vectors:
Co (0.4193, 0.2500, 0.8386)
Co (0.5807, 0.7500, 0.1614)
Re (0.9172, 0.7500, 0.8343)
Re (0.0828, 0.2500, 0.1657)
Os (0.7447, 0.2500, 0.4894)
Os (0.2553, 0.7500, 0.5106)


Entry 3:
Compound: CoReOsS2
Source: the Alexandria database
Functional: PBE
Structure: relaxed

As for the density of states at the Fermi level: 6.69 states/eV/cell. The energy relative to the elements, uncorrected is 748 kJ/mol of formula units. The total energy comes out at -6.26 eV per atom. As for the space group: P4/mmm, No. 123. The size of the total moment is 1.031 μB per formula unit.

Lattice parameters (Å, degrees): 4.2032 4.5161 4.2032 90.00 90.00 90.00
Last column: magnetic moment on the atom in μB.
Sites, in units of the cell vectors:
Re (0.5000, 0.5000, 0.5000)  1.54
S (0.0000, 0.0000, 0.5000)  -0.06
S (0.5000, 0.0000, 0.0000)  -0.09
Os (0.0000, 0.5000, 0.0000)  -0.27
Co (0.0000, 0.0000, 0.0000)  -0.28


Entry 4:
Compound: CoRe2OsS
Source: the Alexandria database
Functional: PBE
Structure: relaxed

As for the density of states at the Fermi level: 8.30 states/eV/cell. The energy relative to the elements, uncorrected is 593 kJ/mol of formula units. The total energy comes out at -8.24 eV per atom. As for the space group: P4/mmm, No. 123. The size of the total moment is 1.374 μB per formula unit.

Lattice parameters (Å, degrees): 4.3120 4.2826 4.3120 90.00 90.00 90.00
Last column: magnetic moment on the atom in μB.
Sites, in units of the cell vectors:
Re (0.0000, 0.0000, 0.5000)  -0.04
Re (0.5000, 0.0000, 0.0000)  -0.12
S (0.0000, 0.0000, 0.0000)  0.00
Os (0.0000, 0.5000, 0.0000)  -0.04
Co (0.5000, 0.5000, 0.5000)  1.66


Entry 5:
Compound: CoOs4Rh
Source: the Alexandria database
Functional: PBE
Structure: relaxed

As for the density of states at the Fermi level: 9.60 states/eV/cell. The value obtained for the formation energy is 853 meV per atom. The total energy comes out at -9.04 eV per atom. As for the space group: F-43m, No. 216. The size of the total moment is 3.619 μB per formula unit.

Lattice parameters (Å, degrees): 5.0867 5.0867 5.0867 60.00 60.00 60.00
Last column: magnetic moment on the atom in μB.
Sites, in units of the cell vectors:
Co (0.0000, 0.0000, 0.0000)  1.95
Os (0.8744, 0.3752, 0.3752)  0.36
Os (0.3752, 0.3752, 0.8744)  0.36
Os (0.3752, 0.8744, 0.3752)  0.36
Os (0.3752, 0.3752, 0.3752)  0.36
Rh (0.7500, 0.7500, 0.7500)  0.25


Entry 6:
Compound: CoOsRh4
Source: the Alexandria database
Functional: PBE
Structure: relaxed

As for the density of states at the Fermi level: 9.93 states/eV/cell. The value obtained for the formation energy is 76 meV per atom. As for the energy above the most stable polymorph in this dataset: 0.000 eV per atom. The total energy comes out at -7.88 eV per atom. As for the space group: Pmmm, No. 47. The size of the total moment is 2.292 μB per formula unit.

Lattice parameters (Å, degrees): 2.6969 3.7944 8.0791 90.00 90.00 90.00
Last column: magnetic moment on the atom in μB.
Sites, in units of the cell vectors:
Co (0.0000, 0.5000, 0.0000)  1.78
Os (0.5000, 0.0000, 0.5000)  0.01
Rh (0.0000, 0.5000, 0.3336)  0.01
Rh (0.5000, 0.0000, 0.1606)  0.26
Rh (0.0000, 0.5000, 0.6664)  0.01
Rh (0.5000, 0.0000, 0.8394)  0.26